The following is a PBE calculation of crystalline Na3PrNd2Pb3 at its relaxed geometry, from OQMD.

Values from the calculation:
energy = -0.2605 Ry per atom
SG = P-6m2 (187)
total magnetic moment = 0.01 μB per formula unit

Cell and atoms, written as POSCAR:
```
Na3PrNd2Pb3
1.0
5.2477 0.0000 0.0000
-2.6239 4.5446 0.0000
0.0000 0.0000 10.9255
Na Nd Pb Pr
3 2 3 1
direct
0.3333 0.6667 0.0000
0.0000 0.0000 0.3137
0.0000 0.0000 0.6863
0.6667 0.3333 0.1654
0.6667 0.3333 0.8346
0.0000 0.0000 0.0000
0.3333 0.6667 0.3417
0.3333 0.6667 0.6583
0.6667 0.3333 0.5000
```


The following is a PBE calculation of crystalline Zr2Ni12P7 at its relaxed geometry, from OQMD.

Values from the calculation:
energy = -0.4810 Ry per atom
SG = P-6 (174)
total magnetic moment = 0.00 μB per formula unit

Cell and atoms, written as POSCAR:
```
Zr2Ni12P7
1.0
-3.7022 -8.0493 -1.4593
2.5922 2.3147 8.2788
-3.2440 1.3778 0.6305
Ni P Zr
12 7 2
direct
0.6270 0.0603 0.0000
0.1191 0.2767 0.0000
0.4332 0.3730 0.0000
0.9397 0.5667 0.0000
0.7233 0.8424 0.0000
0.1576 0.8809 0.0000
0.8722 0.0912 0.5000
0.2190 0.1278 0.5000
0.0465 0.4344 0.5000
0.5656 0.6120 0.5000
0.9088 0.7810 0.5000
0.3879 0.9535 0.5000
0.0000 0.0000 0.0000
0.4126 0.1194 0.0000
0.8805 0.2932 0.0000
0.7068 0.5874 0.0000
0.2908 0.4107 0.5000
0.1199 0.7092 0.5000
0.5894 0.8802 0.5000
0.3334 0.6667 0.0000
0.6666 0.3333 0.5000
```


The following is a PBE calculation of crystalline Rb2CoCuCl6 at its relaxed geometry, from OQMD.

Values from the calculation:
energy = -0.2550 Ry per atom
SG = Fm-3m (225)
total magnetic moment = 2.01 μB per formula unit

Cell and atoms, written as POSCAR:
```
Rb2CoCuCl6
1.0
0.0000 4.8706 4.8706
4.8706 0.0000 4.8706
4.8706 4.8706 0.0000
Cl Co Cu Rb
6 1 1 2
direct
0.7540 0.2460 0.2460
0.2460 0.7540 0.2460
0.7540 0.7540 0.2460
0.2460 0.2460 0.7540
0.7540 0.2460 0.7540
0.2460 0.7540 0.7540
0.0000 0.0000 0.0000
0.5000 0.5000 0.5000
0.2500 0.2500 0.2500
0.7500 0.7500 0.7500
```


The following is a PBE calculation of crystalline AgAsPb at its relaxed geometry, from OQMD.

Values from the calculation:
energy = -0.2716 Ry per atom
energy above the lowest structure with this stoichiometry = 19 meV/atom
SG = Pnma (62)

Cell and atoms, written as POSCAR:
```
AgAsPb
1.0
7.7401 0.0000 0.0000
0.0000 4.6408 0.0000
0.0000 0.0000 7.8762
Ag As Pb
4 4 4
direct
0.0771 0.0000 0.1797
0.5771 0.5000 0.3203
0.4229 0.0000 0.6797
0.9229 0.5000 0.8203
0.9096 0.5000 0.2292
0.4096 0.0000 0.2707
0.5904 0.5000 0.7293
0.0904 0.0000 0.7707
0.6991 0.0000 0.0025
0.1991 0.5000 0.4975
0.8009 0.0000 0.5025
0.3009 0.5000 0.9975
```


The following is a PBE calculation of crystalline Rb2Gd2S3O at its relaxed geometry, from OQMD.

Values from the calculation:
energy = -0.4080 Ry per atom
SG = P3m1 (156)
total magnetic moment = 0.01 μB per formula unit

Cell and atoms, written as POSCAR:
```
Rb2Gd2S3O
1.0
-1.0896 0.9741 3.6466
-2.7240 -0.7240 -2.7367
-0.0289 -14.4078 3.8402
Gd O Rb S
2 1 2 3
direct
0.6667 0.3333 0.0224
0.6667 0.3333 0.4945
0.0000 0.0000 0.0884
0.3333 0.6667 0.2330
0.0000 0.0000 0.7601
0.0000 0.0000 0.3885
0.3333 0.6667 0.5978
0.3333 0.6667 0.9152
```


The following is a PBE calculation of crystalline AlFe2Pb at its relaxed geometry, from OQMD.

Values from the calculation:
energy = -0.4208 Ry per atom
SG = Pm-3m (221)
total magnetic moment = 4.11 μB per formula unit

Cell and atoms, written as POSCAR:
```
AlFe2Pb
1.0
-3.9987 3.4488 -3.4829
2.0652 -2.8910 -5.2337
-4.4452 -4.4455 0.7015
Al Fe Pb
4 8 4
direct
0.5000 0.5000 0.0000
0.5000 0.0000 0.5000
0.0000 0.5000 0.5000
0.5000 0.5000 0.5000
0.2842 0.2842 0.2842
0.7158 0.2842 0.2842
0.2842 0.7158 0.2842
0.7158 0.7158 0.2842
0.2842 0.2842 0.7158
0.7158 0.2842 0.7158
0.2842 0.7158 0.7158
0.7158 0.7158 0.7158
0.0000 0.0000 0.0000
0.5000 0.0000 0.0000
0.0000 0.5000 0.0000
0.0000 0.0000 0.5000
```


The following is a PBE calculation of crystalline La2DyAl7Cu2 at its relaxed geometry, from OQMD.

Values from the calculation:
energy = -0.3283 Ry per atom
SG = R-3m (166)
total magnetic moment = 0.00 μB per formula unit

Cell and atoms, written as POSCAR:
```
La2DyAl7Cu2
1.0
2.7956 1.6140 8.6741
-2.7956 1.6140 8.6741
0.0000 -3.2281 8.6741
Al Cu Dy La
7 2 1 2
direct
0.5783 0.5783 0.0708
0.9292 0.4217 0.4217
0.4217 0.9292 0.4217
0.5000 0.5000 0.5000
0.5783 0.0708 0.5783
0.0708 0.5783 0.5783
0.4217 0.4217 0.9292
0.3355 0.3355 0.3355
0.6645 0.6645 0.6645
0.0000 0.0000 0.0000
0.1422 0.1422 0.1422
0.8578 0.8578 0.8578
```


The following is a PBE calculation of crystalline Ta2Nb4Bi3C3 at its relaxed geometry, from OQMD.

Values from the calculation:
energy = -0.6495 Ry per atom
SG = C2/c (15)
total magnetic moment = 0.00 μB per formula unit

Cell and atoms, written as POSCAR:
```
Ta2Nb4Bi3C3
1.0
-2.7564 -5.1723 -0.7798
2.7262 -5.0520 1.4153
-5.0299 4.1823 12.3340
Bi C Nb Ta
6 6 8 4
direct
0.7473 0.5840 0.2497
0.0846 0.9154 0.2500
0.4160 0.2527 0.2503
0.5840 0.7473 0.7497
0.9154 0.0846 0.7500
0.2527 0.4160 0.7503
0.6619 0.1770 0.0000
0.0000 0.5000 0.0000
0.3381 0.8230 0.0000
0.1770 0.6619 0.5000
0.5000 0.0000 0.5000
0.8230 0.3381 0.5000
0.6918 0.8669 0.0784
0.0332 0.1862 0.0784
0.8138 0.9668 0.4216
0.1331 0.3082 0.4216
0.8669 0.6918 0.5784
0.1862 0.0332 0.5784
0.9668 0.8138 0.9216
0.3082 0.1331 0.9216
0.3524 0.5246 0.0760
0.4754 0.6476 0.4240
0.5246 0.3524 0.5760
0.6476 0.4754 0.9240
```


Q: Among the records above, which one has the highest energy?
A: Rb2CoCuCl6